# 1
## TiGeSN2 (GGA-PBE)

Data for crystalline TiGeSN2 at its relaxed geometry.

Cell and atoms, written as CIF:
```
data_TiGeSN2
_chemical_formula_sum 'Ti1 Ge1 S1 N2'
_space_group_name_H-M_alt 'P 1'
_space_group_IT_number 1
_space_group_name_Hall 'P 1'
_cell_length_a 3.8686
_cell_length_b 3.8686
_cell_length_c 5.1374
_cell_angle_alpha 90.00
_cell_angle_beta 90.00
_cell_angle_gamma 90.00
loop_
_atom_site_label
_atom_site_fract_x
_atom_site_fract_y
_atom_site_fract_z
_atom_site_occupancy
N1 0.0000 0.5000 0.0000 1
N2 0.5000 0.0000 0.0000 1
Ti1 0.0000 0.0000 0.0000 1
S1 0.0000 0.0000 0.5000 1
Ge1 0.5000 0.5000 0.5000 1
```

Summary:
- Space-group type: P4/mmm (123)
- Electronic total energy: -32.2 eV for the cell shown
- Formation energy without anion corrections: 0.22 eV/atom
- Polymorph energy (0 for the lowest one): 0.000 eV per atom

# 2
## CuIr (GGA-PBE)

Data for crystalline CuIr at its relaxed geometry.

Cell and atoms, written as CIF:
```
data_CuIr
_chemical_formula_sum 'Cu2 Ir2'
_space_group_name_H-M_alt 'P 1'
_space_group_IT_number 1
_space_group_name_Hall 'P 1'
_cell_length_a 4.2565
_cell_length_b 4.2565
_cell_length_c 4.2565
_cell_angle_alpha 60.00
_cell_angle_beta 60.00
_cell_angle_gamma 60.00
loop_
_atom_site_label
_atom_site_fract_x
_atom_site_fract_y
_atom_site_fract_z
_atom_site_occupancy
Cu1 0.7500 0.7500 0.7500 1
Cu2 0.0000 0.0000 0.0000 1
Ir1 0.5000 0.5000 0.5000 1
Ir2 0.2500 0.2500 0.2500 1
```

Summary:
- Space-group type: Fd-3m (227)
- Electronic total energy: -24.9 eV for the cell shown
- ΔH_f (0 K): 0.52 eV per formula unit

# 3
## LaReSi (GGA-PBE)

Data for crystalline LaReSi at its relaxed geometry.

Cell and atoms, written as CIF:
```
data_LaReSi
_chemical_formula_sum 'La1 Re1 Si1'
_space_group_name_H-M_alt 'P 1'
_space_group_IT_number 1
_space_group_name_Hall 'P 1'
_cell_length_a 4.1832
_cell_length_b 4.1832
_cell_length_c 4.4049
_cell_angle_alpha 90.00
_cell_angle_beta 90.00
_cell_angle_gamma 120.00
loop_
_atom_site_label
_atom_site_fract_x
_atom_site_fract_y
_atom_site_fract_z
_atom_site_occupancy
Si1 0.3333 0.6667 0.5000 1
Re1 0.6667 0.3333 0.5000 1
La1 0.0000 0.0000 0.0000 1
```

Summary:
- Space-group type: P-6m2 (187)
- Electronic total energy: -23.5 eV for the cell shown
- Formation energy without anion corrections: -0.23 eV/atom

# 4
## ThAl11Co (GGA-PBE)

Data for crystalline ThAl11Co at its relaxed geometry.

Cell and atoms, written as CIF:
```
data_ThAl11Co
_chemical_formula_sum 'Th1 Al11 Co1'
_space_group_name_H-M_alt 'P 1'
_space_group_IT_number 1
_space_group_name_Hall 'P 1'
_cell_length_a 5.1759
_cell_length_b 7.1920
_cell_length_c 6.7822
_cell_angle_alpha 82.67
_cell_angle_beta 67.57
_cell_angle_gamma 70.45
loop_
_atom_site_label
_atom_site_fract_x
_atom_site_fract_y
_atom_site_fract_z
_atom_site_occupancy
Al1 0.7156 0.7673 0.7844 1
Al2 0.0000 0.0000 0.5000 1
Al3 0.5000 0.7673 0.2156 1
Al4 0.0000 0.5000 0.0000 1
Al5 0.5000 0.2327 0.7844 1
Al6 0.0183 0.6383 0.3453 1
Al7 0.6365 0.3617 0.3453 1
Al8 0.3635 0.6383 0.6547 1
Al9 0.9817 0.3617 0.6547 1
Al10 0.5000 0.0000 0.5000 1
Al11 0.2844 0.2327 0.2156 1
Th1 0.0000 0.0000 0.0000 1
Co1 0.5000 0.5000 0.0000 1
```

Summary:
- Space-group type: C2/m (12)
- Electronic total energy: -58.5 eV for the cell shown
- ΔH_f (0 K): -2.76 eV per formula unit

# 5
## Li8MgZn4 (GGA-PBE)

Data for crystalline Li8MgZn4 at its relaxed geometry.

Cell and atoms, written as CIF:
```
data_Li8MgZn4
_chemical_formula_sum 'Li8 Mg1 Zn4'
_space_group_name_H-M_alt 'P 1'
_space_group_IT_number 1
_space_group_name_Hall 'P 1'
_cell_length_a 5.1244
_cell_length_b 7.0914
_cell_length_c 7.0914
_cell_angle_alpha 82.50
_cell_angle_beta 68.82
_cell_angle_gamma 68.82
loop_
_atom_site_label
_atom_site_fract_x
_atom_site_fract_y
_atom_site_fract_z
_atom_site_occupancy
Zn1 0.0000 0.5000 0.0000 1
Zn2 0.5000 0.5000 0.0000 1
Zn3 0.5000 0.0000 0.5000 1
Zn4 0.0000 0.0000 0.5000 1
Li1 0.5000 0.2103 0.7897 1
Li2 0.0000 0.3427 0.6573 1
Li3 0.5000 0.7897 0.2103 1
Li4 0.6573 0.3427 0.3427 1
Li5 0.0000 0.6573 0.3427 1
Li6 0.7103 0.7897 0.7897 1
Li7 0.3427 0.6573 0.6573 1
Li8 0.2897 0.2103 0.2103 1
Mg1 0.0000 0.0000 0.0000 1
```

Summary:
- Space-group type: I4/mmm (139)
- Electronic total energy: -23.5 eV for the cell shown
- ΔH_f (0 K): -1.46 eV per formula unit

# 6
## CeHo2Al (GGA-PBE)

Data for crystalline CeHo2Al at its relaxed geometry.

Cell and atoms, written as CIF:
```
data_CeHo2Al
_chemical_formula_sum 'Ce1 Ho2 Al1'
_space_group_name_H-M_alt 'P 1'
_space_group_IT_number 1
_space_group_name_Hall 'P 1'
_cell_length_a 5.3107
_cell_length_b 5.3107
_cell_length_c 5.3119
_cell_angle_alpha 60.00
_cell_angle_beta 60.00
_cell_angle_gamma 60.01
loop_
_atom_site_label
_atom_site_fract_x
_atom_site_fract_y
_atom_site_fract_z
_atom_site_occupancy
Ho1 0.2499 0.2499 0.2501 1
Ho2 0.0000 0.0000 0.9999 1
Al1 0.7501 0.7501 0.7498 1
Ce1 0.5000 0.5000 0.5001 1
```

Summary:
- Space-group type: F-43m (216)
- Electronic total energy: -19.0 eV for the cell shown
- ΔH_f (0 K): -0.15 eV per formula unit
- Polymorph energy (0 for the lowest one): 0.114 eV per atom

# 7
## Pu6MgTe8 (GGA-PBE)

Data for crystalline Pu6MgTe8 at its relaxed geometry.

Cell and atoms, written as CIF:
```
data_Pu6MgTe8
_chemical_formula_sum 'Pu6 Mg1 Te8'
_space_group_name_H-M_alt 'P 1'
_space_group_IT_number 1
_space_group_name_Hall 'P 1'
_cell_length_a 8.8522
_cell_length_b 8.8522
_cell_length_c 8.8522
_cell_angle_alpha 60.00
_cell_angle_beta 60.00
_cell_angle_gamma 60.00
loop_
_atom_site_label
_atom_site_fract_x
_atom_site_fract_y
_atom_site_fract_z
_atom_site_occupancy
Pu1 0.0000 0.5000 0.0000 1
Pu2 0.5000 0.0000 0.0000 1
Pu3 0.5000 0.0000 0.5000 1
Pu4 0.0000 0.0000 0.5000 1
Pu5 0.0000 0.5000 0.5000 1
Pu6 0.5000 0.5000 0.0000 1
Te1 0.7500 0.7500 0.7500 1
Te2 0.7551 0.2449 0.7551 1
Te3 0.2449 0.7551 0.7551 1
Te4 0.7551 0.2449 0.2449 1
Te5 0.7551 0.7551 0.2449 1
Te6 0.2449 0.2449 0.7551 1
Te7 0.2449 0.7551 0.2449 1
Te8 0.2500 0.2500 0.2500 1
Mg1 0.0000 0.0000 0.0000 1
```

Summary:
- Space-group type: Fm-3m (225)
- Electronic total energy: -128.0 eV for the cell shown
- Formation energy without anion corrections: -1.02 eV/atom

# 8
## NpFe3C (GGA-PBE)

Data for crystalline NpFe3C at its relaxed geometry.

Cell and atoms, written as CIF:
```
data_NpFe3C
_chemical_formula_sum 'Np1 Fe3 C1'
_space_group_name_H-M_alt 'P 1'
_space_group_IT_number 1
_space_group_name_Hall 'P 1'
_cell_length_a 3.9123
_cell_length_b 3.9123
_cell_length_c 3.9123
_cell_angle_alpha 90.00
_cell_angle_beta 90.00
_cell_angle_gamma 90.00
loop_
_atom_site_label
_atom_site_fract_x
_atom_site_fract_y
_atom_site_fract_z
_atom_site_occupancy
Fe1 0.5000 0.0000 0.0000 1
Fe2 0.0000 0.0000 0.5000 1
Fe3 0.0000 0.5000 0.0000 1
Np1 0.5000 0.5000 0.5000 1
C1 0.0000 0.0000 0.0000 1
```

Summary:
- Space-group type: Pm-3m (221)
- Electronic total energy: -47.2 eV for the cell shown
- ΔH_f (0 K): 0.35 eV per formula unit

# 9
## Sc2Te3H (GGA-PBE)

Data for crystalline Sc2Te3H at its relaxed geometry.

Cell and atoms, written as CIF:
```
data_Sc2Te3H
_chemical_formula_sum 'Sc8 Te12 H4'
_space_group_name_H-M_alt 'P 1'
_space_group_IT_number 1
_space_group_name_Hall 'P 1'
_cell_length_a 3.8405
_cell_length_b 12.3984
_cell_length_c 11.0999
_cell_angle_alpha 90.00
_cell_angle_beta 90.00
_cell_angle_gamma 90.00
loop_
_atom_site_label
_atom_site_fract_x
_atom_site_fract_y
_atom_site_fract_z
_atom_site_occupancy
Sc1 0.2500 0.6745 0.4343 1
Sc2 0.7500 0.1745 0.0657 1
Sc3 0.7500 0.5268 0.2041 1
Sc4 0.2500 0.8255 0.9343 1
Sc5 0.2500 0.4732 0.7959 1
Sc6 0.2500 0.0268 0.2959 1
Sc7 0.7500 0.9732 0.7041 1
Sc8 0.7500 0.3255 0.5657 1
Te1 0.2500 0.4393 0.3871 1
Te2 0.7500 0.5607 0.6129 1
Te3 0.7500 0.3035 0.8279 1
Te4 0.7500 0.8773 0.4254 1
Te5 0.7500 0.9393 0.1129 1
Te6 0.7500 0.1965 0.3279 1
Te7 0.2500 0.3773 0.0746 1
Te8 0.2500 0.0607 0.8871 1
Te9 0.7500 0.6227 0.9254 1
Te10 0.2500 0.8035 0.6721 1
Te11 0.2500 0.6965 0.1721 1
Te12 0.2500 0.1227 0.5746 1
H1 0.7500 0.8737 0.8617 1
H2 0.7500 0.6263 0.3617 1
H3 0.2500 0.1263 0.1383 1
H4 0.2500 0.3737 0.6383 1
```

Summary:
- Space-group type: Pnma (62)
- Electronic total energy: -122.5 eV for the cell shown
- Polymorph energy (0 for the lowest one): 0.000 eV per atom

# 10
## Cs2KSnPt (GGA-PBE)

Data for crystalline Cs2KSnPt at its relaxed geometry.

Cell and atoms, written as CIF:
```
data_Cs2KSnPt
_chemical_formula_sum 'Cs2 K1 Sn1 Pt1'
_space_group_name_H-M_alt 'P 1'
_space_group_IT_number 1
_space_group_name_Hall 'P 1'
_cell_length_a 6.9341
_cell_length_b 6.9341
_cell_length_c 5.1766
_cell_angle_alpha 90.00
_cell_angle_beta 90.00
_cell_angle_gamma 90.00
loop_
_atom_site_label
_atom_site_fract_x
_atom_site_fract_y
_atom_site_fract_z
_atom_site_occupancy
K1 0.5000 0.5000 0.5000 1
Pt1 0.0000 0.0000 0.0000 1
Sn1 0.0000 0.0000 0.5000 1
Cs1 0.5000 0.0000 0.0000 1
Cs2 0.0000 0.5000 0.0000 1
```

Summary:
- Space-group type: P4/mmm (123)
- Electronic total energy: -13.3 eV for the cell shown
- ΔH_f (0 K): -0.46 eV per formula unit

# 11
## DyAl4Ga (GGA-PBE)

Data for crystalline DyAl4Ga at its relaxed geometry.

Cell and atoms, written as CIF:
```
data_DyAl4Ga
_chemical_formula_sum 'Dy2 Al8 Ga2'
_space_group_name_H-M_alt 'P 1'
_space_group_IT_number 1
_space_group_name_Hall 'P 1'
_cell_length_a 5.1474
_cell_length_b 5.1474
_cell_length_c 10.8669
_cell_angle_alpha 103.70
_cell_angle_beta 103.70
_cell_angle_gamma 90.00
loop_
_atom_site_label
_atom_site_fract_x
_atom_site_fract_y
_atom_site_fract_z
_atom_site_occupancy
Al1 0.1452 0.3906 0.2904 1
Al2 0.6048 0.8594 0.2096 1
Al3 0.1452 0.8998 0.2904 1
Al4 0.6048 0.3502 0.2096 1
Al5 0.1002 0.8548 0.7096 1
Al6 0.1406 0.3952 0.7904 1
Al7 0.6094 0.8548 0.7096 1
Al8 0.6498 0.3952 0.7904 1
Dy1 0.0000 0.0000 0.0000 1
Dy2 0.7500 0.2500 0.5000 1
Ga1 0.5000 0.5000 0.0000 1
Ga2 0.2500 0.7500 0.5000 1
```

Summary:
- Space-group type: I4_1/amd (141)
- Electronic total energy: -44.1 eV for the cell shown
- ΔH_f (0 K): 0.57 eV per formula unit
- Polymorph energy (0 for the lowest one): 0.351 eV per atom

# 12
## MnRhCl (GGA-PBE)

Data for crystalline MnRhCl at its relaxed geometry.

Cell and atoms, written as CIF:
```
data_MnRhCl
_chemical_formula_sum 'Mn1 Rh1 Cl1'
_space_group_name_H-M_alt 'P 1'
_space_group_IT_number 1
_space_group_name_Hall 'P 1'
_cell_length_a 6.5910
_cell_length_b 6.2863
_cell_length_c 3.0311
_cell_angle_alpha 82.06
_cell_angle_beta 70.84
_cell_angle_gamma 27.10
loop_
_atom_site_label
_atom_site_fract_x
_atom_site_fract_y
_atom_site_fract_z
_atom_site_occupancy
Cl1 0.9797 0.9797 0.0203 1
Mn1 0.3335 0.3335 0.6665 1
Rh1 0.6868 0.6868 0.3132 1
```

Summary:
- Space-group type: Fmm2 (42)
- Electronic total energy: -18.3 eV for the cell shown
- Formation energy without anion corrections: 0.02 eV/atom
- Polymorph energy (0 for the lowest one): 0.000 eV per atom

Please write out number 9 again, unchanged.
## Sc2Te3H (GGA-PBE)

Data for crystalline Sc2Te3H at its relaxed geometry.

Cell and atoms, written as CIF:
```
data_Sc2Te3H
_chemical_formula_sum 'Sc8 Te12 H4'
_space_group_name_H-M_alt 'P 1'
_space_group_IT_number 1
_space_group_name_Hall 'P 1'
_cell_length_a 3.8405
_cell_length_b 12.3984
_cell_length_c 11.0999
_cell_angle_alpha 90.00
_cell_angle_beta 90.00
_cell_angle_gamma 90.00
loop_
_atom_site_label
_atom_site_fract_x
_atom_site_fract_y
_atom_site_fract_z
_atom_site_occupancy
Sc1 0.2500 0.6745 0.4343 1
Sc2 0.7500 0.1745 0.0657 1
Sc3 0.7500 0.5268 0.2041 1
Sc4 0.2500 0.8255 0.9343 1
Sc5 0.2500 0.4732 0.7959 1
Sc6 0.2500 0.0268 0.2959 1
Sc7 0.7500 0.9732 0.7041 1
Sc8 0.7500 0.3255 0.5657 1
Te1 0.2500 0.4393 0.3871 1
Te2 0.7500 0.5607 0.6129 1
Te3 0.7500 0.3035 0.8279 1
Te4 0.7500 0.8773 0.4254 1
Te5 0.7500 0.9393 0.1129 1
Te6 0.7500 0.1965 0.3279 1
Te7 0.2500 0.3773 0.0746 1
Te8 0.2500 0.0607 0.8871 1
Te9 0.7500 0.6227 0.9254 1
Te10 0.2500 0.8035 0.6721 1
Te11 0.2500 0.6965 0.1721 1
Te12 0.2500 0.1227 0.5746 1
H1 0.7500 0.8737 0.8617 1
H2 0.7500 0.6263 0.3617 1
H3 0.2500 0.1263 0.1383 1
H4 0.2500 0.3737 0.6383 1
```

Summary:
- Space-group type: Pnma (62)
- Electronic total energy: -122.5 eV for the cell shown
- Polymorph energy (0 for the lowest one): 0.000 eV per atom

Question: Which of these has the highest electronic total energy?
Answer: Cs2KSnPt